[1]
{
  "formula": "CePr4Nd10",
  "functional": "GGA-PBE",
  "state": "optimized geometry",
  "lattice_angstrom": [[7.3992, 0.0000, 3.3411], [3.6996, 8.1609, 1.6705], [0.3411, 0.0000, 9.1083]],
  "species": ["Nd", "Nd", "Pr", "Nd", "Pr", "Pr", "Nd", "Ce", "Nd", "Nd", "Nd", "Nd", "Nd", "Nd", "Pr"],
  "fractional_positions": [[0.4997, 0.2096, 0.2095], [0.7092, 0.7905, 0.2096], [0.7737, 0.0005, 0.4522], [0.7093, 0.2095, 0.7904], [0.2259, 0.5478, 0.0005], [0.7741, 0.4522, 0.9995], [0.0812, 0.2096, 0.2095], [0.0000, 0.0000, 0.0000], [0.9188, 0.7904, 0.7905], [0.7500, 0.5000, 0.5000], [0.2500, 0.5000, 0.5000], [0.5003, 0.7904, 0.7905], [0.2908, 0.2095, 0.7904], [0.2907, 0.7905, 0.2096], [0.2263, 0.9995, 0.5478]],
  "e_form_mev_per_atom": 225,
  "n_ef_per_ev_atom": 1.483,
  "volume_a3_per_atom": 36.0,
  "e_tot_ev_per_atom": -4.624
}

[2]
{
  "formula": "UCo4Sb",
  "functional": "GGA-PBE",
  "state": "optimized geometry",
  "lattice_angstrom": [[4.9333, 0.0000, 0.0000], [2.4667, 4.2724, 0.0000], [2.4667, 1.4241, 4.0281]],
  "species": ["Co", "Co", "U", "Co", "Sb", "Co"],
  "fractional_positions": [[0.1203, 0.6266, 0.6266], [0.6266, 0.1203, 0.6266], [0.2500, 0.2500, 0.2500], [0.6266, 0.6266, 0.1203], [0.0000, 0.0000, 0.0000], [0.6266, 0.6266, 0.6266]],
  "n_ef_per_ev_atom": 1.310,
  "volume_a3_per_atom": 14.2,
  "e_tot_ev_per_atom": -7.385,
  "formation_energy_uncorrected_ev_per_fu": -0.47
}

[3]
{
  "formula": "MnMo2Pt",
  "functional": "GGA-PBE",
  "state": "optimized geometry",
  "lattice_angstrom": [[2.7463, 0.0000, 0.0000], [0.0000, 2.7463, 0.0000], [0.0000, 0.0000, 7.6546]],
  "species": ["Mo", "Mn", "Pt", "Mo"],
  "fractional_positions": [[0.0000, 0.0000, 0.5235], [0.5000, 0.5000, 0.7500], [0.5000, 0.5000, 0.2500], [0.0000, 0.0000, 0.9765]],
  "e_form_mev_per_atom": -84,
  "n_ef_per_ev_atom": 0.868,
  "volume_a3_per_atom": 14.4,
  "e_tot_ev_per_atom": -9.302
}

[4]
{
  "formula": "FeCo",
  "functional": "GGA-PBE",
  "state": "optimized geometry",
  "lattice_angstrom": [[-3.0530, -2.1457, 2.9045], [3.5786, -1.8014, -2.5120], [2.4783, 0.6358, 3.0747]],
  "species": ["Co", "Fe", "Co", "Fe", "Co", "Fe"],
  "fractional_positions": [[0.8282, 0.1718, 0.5000], [0.6675, 0.3325, 0.0000], [0.5007, 0.4993, 0.5000], [0.1649, 0.8351, 0.5000], [0.0024, 0.9976, 0.0000], [0.3364, 0.6636, 0.0000]],
  "e_form_mev_per_atom": -22,
  "n_ef_per_ev_atom": 0.696,
  "volume_a3_per_atom": 11.4,
  "e_tot_ev_per_atom": -7.807
}

[5]
{
  "formula": "Ce8Zn2Ir3",
  "functional": "GGA-PBE",
  "state": "optimized geometry",
  "lattice_angstrom": [[6.7959, 0.0000, -0.5342], [0.0000, 7.2527, 0.0000], [-3.4619, -3.6263, 7.5910]],
  "species": ["Zn", "Zn", "Ce", "Ce", "Ce", "Ce", "Ir", "Ir", "Ce", "Ce", "Ir", "Ce", "Ce"],
  "fractional_positions": [[0.5430, 0.7673, 0.5346], [0.4570, 0.2327, 0.4654], [0.5463, 0.6079, 0.8016], [0.0377, 0.8989, 0.7977], [0.9771, 0.3401, 0.6802], [0.9623, 0.1011, 0.2023], [0.0000, 0.6972, 0.0000], [0.5000, 0.0000, 0.0000], [0.0229, 0.6599, 0.3198], [0.4537, 0.8064, 0.1984], [0.0000, 0.3028, 0.0000], [0.5463, 0.1936, 0.8016], [0.4537, 0.3921, 0.1984]],
  "e_form_mev_per_atom": -258,
  "n_ef_per_ev_atom": 3.085,
  "volume_a3_per_atom": 27.7,
  "e_tot_ev_per_atom": -6.150
}

[6]
{
  "formula": "Cs3LiCd2Cl9",
  "functional": "GGA-PBE",
  "state": "optimized geometry",
  "lattice_angstrom": [[-6.8357, 0.7980, 2.8371], [4.1723, -5.8538, 1.9335], [3.4756, 4.7976, 7.0248]],
  "species": ["Cs", "Cl", "Cl", "Cl", "Cl", "Li", "Cd", "Cl", "Cl", "Cl", "Cd", "Cs", "Cs", "Cl", "Cl"],
  "fractional_positions": [[0.0000, 0.0000, 0.0000], [0.0000, 0.5000, 0.0000], [0.1649, 0.3297, 0.3334], [0.6703, 0.8351, 0.3334], [0.8351, 0.6703, 0.6666], [0.0000, 0.0000, 0.5000], [0.3333, 0.6667, 0.1758], [0.3297, 0.1649, 0.6666], [0.8351, 0.1649, 0.6666], [0.1649, 0.8351, 0.3334], [0.6667, 0.3333, 0.8242], [0.3333, 0.6667, 0.6629], [0.6667, 0.3333, 0.3371], [0.5000, 0.0000, 0.0000], [0.5000, 0.5000, 0.0000]],
  "n_ef_per_ev_atom": 1.544,
  "volume_a3_per_atom": 29.4,
  "e_tot_ev_per_atom": -2.973,
  "formation_energy_uncorrected_ev_per_fu": -21.68
}

[7]
{
  "formula": "FeReIr2",
  "functional": "GGA-PBE",
  "state": "optimized geometry",
  "lattice_angstrom": [[4.7004, 0.0074, -0.0069], [3.9163, 2.5993, -0.0069], [0.7708, 0.2332, 4.5880]],
  "species": ["Ir", "Fe", "Ir", "Re"],
  "fractional_positions": [[0.5002, 0.5002, 0.5025], [0.7500, 0.7500, 0.7500], [0.9998, 0.9998, 0.9975], [0.2500, 0.2500, 0.2500]],
  "e_form_mev_per_atom": -55,
  "n_ef_per_ev_atom": 1.001,
  "volume_a3_per_atom": 14.0,
  "e_tot_ev_per_atom": -9.714
}

[8]
{
  "formula": "Dy2TlRh",
  "functional": "GGA-PBE",
  "state": "optimized geometry",
  "lattice_angstrom": [[3.9127, 0.0000, 0.0000], [1.9563, 3.3885, 0.0000], [1.9563, 1.1295, 8.1478]],
  "species": ["Dy", "Dy", "Rh", "Tl"],
  "fractional_positions": [[0.0651, 0.0651, 0.8046], [0.2685, 0.2685, 0.1944], [0.6662, 0.6662, 0.0014], [0.5002, 0.5002, 0.4995]],
  "e_form_mev_per_atom": -512,
  "n_ef_per_ev_atom": 0.521,
  "volume_a3_per_atom": 27.0,
  "e_tot_ev_per_atom": -5.243
}

[9]
{
  "formula": "GaTc",
  "functional": "GGA-PBE",
  "state": "optimized geometry",
  "lattice_angstrom": [[-3.1574, -1.7051, 5.9813], [-5.3903, -2.5964, -3.5856], [3.1030, -6.2453, -0.1424]],
  "species": ["Tc", "Ga", "Ga", "Ga", "Tc", "Tc", "Tc", "Ga", "Tc", "Ga", "Ga", "Tc"],
  "fractional_positions": [[0.2500, 0.0000, 0.5000], [0.0000, 0.7500, 0.5000], [0.5000, 0.0000, 0.2500], [0.0000, 0.2500, 0.5000], [0.7500, 0.0000, 0.5000], [0.5000, 0.7500, 0.0000], [0.0000, 0.5000, 0.2500], [0.2500, 0.5000, 0.0000], [0.0000, 0.5000, 0.7500], [0.7500, 0.5000, 0.0000], [0.5000, 0.0000, 0.7500], [0.5000, 0.2500, 0.0000]],
  "e_form_mev_per_atom": 1424,
  "n_ef_per_ev_atom": 0.496,
  "volume_a3_per_atom": 28.3,
  "e_tot_ev_per_atom": -5.272
}

[10]
{
  "formula": "NbSiBr3",
  "functional": "GGA-PBE",
  "state": "optimized geometry",
  "lattice_angstrom": [[-2.6321, 3.7129, -2.7356], [-3.9496, -3.4410, -0.8701], [-2.3811, 1.6034, 4.4673]],
  "species": ["Nb", "Br", "Br", "Si", "Br"],
  "fractional_positions": [[0.0000, 0.0000, 0.0000], [0.5000, 0.0000, 0.0000], [0.0000, 0.5000, 0.0000], [0.5000, 0.5000, 0.5000], [0.0000, 0.0000, 0.5000]],
  "n_ef_per_ev_atom": 0.798,
  "volume_a3_per_atom": 29.9,
  "e_tot_ev_per_atom": -3.777,
  "formation_energy_uncorrected_ev_per_fu": 1.63
}

[11]
{
  "formula": "Na2HgAsAu",
  "functional": "GGA-PBE",
  "state": "optimized geometry",
  "lattice_angstrom": [[5.6758, 0.0000, 0.0000], [0.0000, 5.6758, 0.0000], [0.0000, 0.0000, 4.8344]],
  "species": ["Na", "As", "Au", "Hg", "Na"],
  "fractional_positions": [[0.5000, 0.0000, 0.0000], [0.0000, 0.0000, 0.0000], [0.0000, 0.0000, 0.5000], [0.5000, 0.5000, 0.5000], [0.0000, 0.5000, 0.0000]],
  "e_form_mev_per_atom": -205,
  "n_ef_per_ev_atom": 0.280,
  "volume_a3_per_atom": 31.1,
  "e_tot_ev_per_atom": -2.379
}

[12]
{
  "formula": "NdLuGa2",
  "functional": "GGA-PBE",
  "state": "optimized geometry",
  "lattice_angstrom": [[-3.5192, -1.1202, 3.5051], [1.4265, -1.3983, 4.6835], [-0.7615, 3.1382, 3.9366]],
  "species": ["Lu", "Ga", "Nd", "Ga"],
  "fractional_positions": [[0.5000, 0.5000, 0.5000], [0.2500, 0.2500, 0.2500], [0.0000, 0.0000, 0.0000], [0.7500, 0.7500, 0.7500]],
  "e_form_mev_per_atom": -546,
  "n_ef_per_ev_atom": 0.272,
  "volume_a3_per_atom": 23.3,
  "e_tot_ev_per_atom": -4.382
}